Computed, not measured: crystalline Cr2RuSe2 at its relaxed geometry at the PBE level of DFT.

a = 4.485 Å, b = 4.485 Å, c = 7.850 Å
α = 90.00°, β = 90.00°, γ = 90.00°
Space group I4/mmm (No. 139)
Inequivalent atoms, fractional coordinates:
Cr: 0.000 0.000 0.123 x4
Ru: 0.000 0.000 0.500 x2
Se: 0.000 0.500 0.250 x4

Results
Energy relative to the elements, uncorrected in eV per atom: 0.503

---

Computed, not measured: crystalline CrRuSe at its relaxed geometry at the PBE level of DFT.

a = 5.851 Å, b = 5.851 Å, c = 5.851 Å
α = 90.00°, β = 90.00°, γ = 90.00°
Space group F-43m (No. 216)
Inequivalent atoms, fractional coordinates:
Cr: 0.000 0.000 0.000 x4
Ru: 0.250 0.250 0.250 x4
Se: 0.000 0.000 0.500 x4

Results
Energy relative to the elements, uncorrected in eV per atom: 0.104

---

Computed, not measured: crystalline Cr2RuSe at its relaxed geometry at the PBE level of DFT.

a = 2.863 Å, b = 2.863 Å, c = 6.406 Å
α = 90.00°, β = 90.00°, γ = 90.00°
Space group P4/mmm (No. 123)
Inequivalent atoms, fractional coordinates:
Cr: 0.000 0.000 0.239 x2
Ru: 0.500 0.500 0.500 x1
Se: 0.500 0.500 0.000 x1

Results
Energy relative to the elements, uncorrected in eV per atom: 0.152

---

Computed, not measured: crystalline CrRu4Se at its relaxed geometry at the PBE level of DFT.

a = 7.262 Å, b = 7.262 Å, c = 7.262 Å
α = 90.00°, β = 90.00°, γ = 90.00°
Space group F-43m (No. 216)
Inequivalent atoms, fractional coordinates:
Cr: 0.000 0.000 0.000 x4
Ru: 0.125 0.125 0.625 x16
Se: 0.250 0.250 0.250 x4

Results
Energy relative to the elements, uncorrected in eV per atom: 0.746

---

Computed, not measured: crystalline Cr2RuSe at its relaxed geometry at the PBE level of DFT.

a = 6.699 Å, b = 6.699 Å, c = 5.121 Å
α = 90.00°, β = 90.00°, γ = 90.00°
Space group I-42d (No. 122)
Inequivalent atoms, fractional coordinates:
Cr: 0.248 0.250 0.125 x8
Ru: 0.000 0.000 0.000 x4
Se: 0.000 0.000 0.500 x4

Results
Energy relative to the elements, uncorrected in eV per atom: 0.575

---

Computed, not measured: crystalline Cr2RuSe at its relaxed geometry at the PBE level of DFT.

a = 2.7903 Å, b = 2.7903 Å, c = 23.9515 Å
α = 90.00°, β = 90.00°, γ = 120.00°
Space group R-3m (No. 166, hexagonal axes)
Inequivalent atoms, fractional coordinates:
Cr: 0.0000 0.0000 0.2476 x6
Ru: 0.0000 0.0000 0.0000 x3
Se: 0.0000 0.0000 0.5000 x3

Results
Energy relative to the elements, uncorrected in eV per atom: 0.326

---

Computed, not measured: crystalline Cr2RuSe at its relaxed geometry at the PBE level of DFT.

a = 3.587 Å, b = 2.939 Å, c = 10.720 Å
α = 90.00°, β = 90.00°, γ = 90.00°
Space group Amm2 (No. 38)
Inequivalent atoms, fractional coordinates:
Cr: 0.000 0.000 0.000 x2
Cr: 0.500 0.000 0.356 x2
Ru: 0.500 0.000 0.604 x2
Se: 0.000 0.000 0.773 x2

Results
Energy relative to the elements, uncorrected in eV per atom: 0.210

---

Computed, not measured: crystalline Cr2RuSe at its relaxed geometry at the PBE level of DFT.

a = 3.657 Å, b = 3.657 Å, c = 8.121 Å
α = 90.00°, β = 90.00°, γ = 90.00°
Space group I-4m2 (No. 119)
Inequivalent atoms, fractional coordinates:
Cr: 0.000 0.000 0.000 x2
Cr: 0.000 0.500 0.250 x2
Ru: 0.000 0.500 0.750 x2
Se: 0.000 0.000 0.500 x2

Results
Energy relative to the elements, uncorrected in eV per atom: 0.345

---

Computed, not measured: crystalline Cr2RuSe at its relaxed geometry at the PBE level of DFT.

a = 8.681 Å, b = 2.950 Å, c = 4.474 Å
α = 90.00°, β = 100.29°, γ = 90.00°
Space group Cm (No. 8)
Inequivalent atoms, fractional coordinates:
Cr: 0.000 0.000 0.000 x2
Cr: 0.245 0.500 0.290 x2
Ru: 0.486 0.000 0.474 x2
Se: 0.249 0.000 0.798 x2

Results
Energy relative to the elements, uncorrected in eV per atom: 0.221

---

Computed, not measured: crystalline Cr2RuSe at its relaxed geometry at the PBE level of DFT.

a = 5.342 Å, b = 7.124 Å, c = 2.961 Å
α = 90.00°, β = 90.00°, γ = 90.00°
Space group Cmmm (No. 65)
Inequivalent atoms, fractional coordinates:
Cr: 0.250 0.250 0.000 x4
Ru: 0.000 0.000 0.500 x2
Se: 0.000 0.500 0.500 x2

Results
Energy relative to the elements, uncorrected in eV per atom: 0.294

---

Computed, not measured: crystalline Cr2RuSe at its relaxed geometry at the PBE level of DFT.

a = 2.929 Å, b = 4.262 Å, c = 8.410 Å
α = 90.00°, β = 90.00°, γ = 90.00°
Space group Immm (No. 71)
Inequivalent atoms, fractional coordinates:
Cr: 0.000 0.000 0.229 x4
Ru: 0.000 0.500 0.000 x2
Se: 0.000 0.500 0.500 x2

Results
Energy relative to the elements, uncorrected in eV per atom: 0.235

---

Computed, not measured: crystalline Cr2RuSe at its relaxed geometry at the PBE level of DFT.

a = 4.306 Å, b = 4.306 Å, c = 2.871 Å
α = 90.00°, β = 90.00°, γ = 90.00°
Space group P4/mmm (No. 123)
Inequivalent atoms, fractional coordinates:
Cr: 0.000 0.500 0.000 x2
Ru: 0.000 0.000 0.500 x1
Se: 0.500 0.500 0.500 x1

Results
Energy relative to the elements, uncorrected in eV per atom: 0.335

---

> Which of these has the lowest energy relative to the elements, uncorrected?

CrRuSe